## Cs2MnZnCl6 (GGA-PBE)

Data for crystalline Cs2MnZnCl6 at its relaxed geometry.

Structure (extended XYZ):
```
10
Lattice="-3.654 3.654 5.106 3.654 -3.654 5.106 3.654 3.654 -5.106" Properties=species:S:1:pos:R:3 pbc="T T T"
Cs 3.654 0.000 2.553
Cs 0.000 3.654 2.553
Mn 0.000 0.000 0.000
Zn 0.000 0.000 5.106
Cl 1.764 1.764 0.000
Cl 1.889 -1.889 5.106
Cl 0.000 0.000 2.764
Cl 0.000 0.000 7.447
Cl -1.889 1.889 5.106
Cl 1.889 1.889 5.106
```

Calculated values
* spin magnetization: 0.50 μB per atom
* formation energy from raw total energies: -1.45 eV/atom
* ΔE to the lowest computed polymorph: 0.000 kcal/mol of atoms
* total energy: -3.7742 eV/atom
* space-group type: I4/mmm
* density of states at the Fermi level: 0.0 states/eV per cell